An optimized crystal structure of LiGa2Ni, computed with PBE-GGA. Values from VASP.

The structure in Quantum ESPRESSO input format:
```
&SYSTEM
  ibrav = 0, nat = 24, ntyp = 3
/
ATOMIC_SPECIES
Li 6.94 Li.upf
Ga 69.72 Ga.upf
Ni 58.69 Ni.upf
CELL_PARAMETERS angstrom
-3.7770 1.1524 1.3694
-2.4488 -4.3738 -3.0736
1.2498 -7.6409 9.8775
ATOMIC_POSITIONS crystal
Li 0.0000 0.5000 0.0000
Li 0.9997 0.5000 0.3333
Li 0.0003 0.5000 0.6667
Li 0.5003 0.0000 0.8333
Li 0.4997 0.0000 0.1667
Li 0.5000 0.0000 0.5000
Ga 0.0002 0.7502 0.8334
Ga 0.4998 0.2502 0.3334
Ga 0.9998 0.2498 0.1666
Ga 0.0002 0.2498 0.8334
Ga 0.9998 0.7502 0.1666
Ga 0.5000 0.7497 0.0000
Ga 0.4998 0.7498 0.3334
Ga 0.0000 0.2497 0.5000
Ga 0.5002 0.2502 0.6666
Ga 0.0000 0.7503 0.5000
Ga 0.5002 0.7498 0.6666
Ga 0.5000 0.2503 0.0000
Ni 0.4998 0.5000 0.1667
Ni 0.0000 0.0000 0.0000
Ni 0.5002 0.5000 0.8333
Ni 0.0002 0.0000 0.6667
Ni 0.5000 0.5000 0.5000
Ni 0.9998 0.0000 0.3333
```

Summary:
- energy above the most stable polymorph in this dataset (kJ/mol of formula units) = 0
- symmetry = I4/mmm, No. 139
- calculated volume (Å³ per cell) = 308


An optimized crystal structure of PrLuZn, computed with PBE-GGA. Values from VASP.

The structure in Quantum ESPRESSO input format:
```
&SYSTEM
  ibrav = 0, nat = 3, ntyp = 3
/
ATOMIC_SPECIES
Pr 140.91 Pr.upf
Zn 65.41 Zn.upf
Lu 174.97 Lu.upf
CELL_PARAMETERS angstrom
0.0000 3.4665 3.4665
3.4665 0.0000 3.4665
3.4665 3.4665 0.0000
ATOMIC_POSITIONS crystal
Pr 0.2500 0.2500 0.2500
Zn 0.7500 0.7500 0.7500
Lu 0.0000 0.0000 0.0000
```

Summary:
- symmetry = F-43m, No. 216
- formation energy (eV per atom) = 0.444
- calculated volume (Å³ per cell) = 83


Q: Which of these has the highest calculated volume?
A: LiGa2Ni


Q: Which value of calculated volume does entry 1 give?
A: 308 Å³ per cell


Q: Which value of calculated volume does entry 1 give?
A: 308 Å³ per cell


Q: The highest calculated volume belongs to which entry?
A: LiGa2Ni